No. 1
Compound: Sm3BeC2
Source: the Alexandria database
Functional: GGA-PBE
Structure: relaxed

Properties
Magnetization, μB/cell: 0.00
Formation energy from the elements, kJ/mol of atoms: 17

Cell: 6.8226 8.9248 7.4877 Å, 90.00 90.00 90.00°
Space group Imma (No. 74)
Inequivalent atoms, fractional coordinates:
Sm 0.0000 0.2500 0.0341 (multiplicity 4)
Sm 0.2500 0.0467 0.7500 (multiplicity 8)
Be 0.0000 0.2500 0.4272 (multiplicity 4)
C 0.0000 0.2500 0.6697 (multiplicity 4)
C 0.2500 0.2500 0.2500 (multiplicity 4)

---

No. 2
Compound: SmBeC
Source: the Alexandria database
Functional: GGA-PBE
Structure: relaxed

Properties
Magnetization, μB/cell: 0.00
Energy relative to the lowest polymorph listed for this composition, kJ/mol of atoms: 24.50
Formation energy from the elements, kJ/mol of atoms: 10

Cell: 3.7494 3.7494 15.4500 Å, 90.00 90.00 90.00°
Space group I4/mmm (No. 139)
Inequivalent atoms, fractional coordinates:
Sm 0.0000 0.0000 0.1677 (multiplicity 4)
Be 0.0000 0.0000 0.4332 (multiplicity 4)
C 0.0000 0.0000 0.3289 (multiplicity 4)

---

No. 3
Compound: Sm3BeC4
Source: the Alexandria database
Functional: GGA-PBE
Structure: relaxed

Properties
Magnetization, μB/cell: 0.00
Formation energy from the elements, kJ/mol of atoms: -7

Cell: 3.8670 4.6252 13.2116 Å, 90.00 90.00 90.00°
Space group Immm (No. 71)
Inequivalent atoms, fractional coordinates:
Sm 0.0000 0.0000 0.0000 (multiplicity 2)
Sm 0.0000 0.5000 0.1813 (multiplicity 4)
Be 0.0000 0.0000 0.5000 (multiplicity 2)
C 0.0000 0.3479 0.3759 (multiplicity 8)

---

Please write out number 2 again, unchanged.
Compound: SmBeC
Source: the Alexandria database
Functional: GGA-PBE
Structure: relaxed

Properties
Magnetization, μB/cell: 0.00
Energy relative to the lowest polymorph listed for this composition, kJ/mol of atoms: 24.50
Formation energy from the elements, kJ/mol of atoms: 10

Cell: 3.7494 3.7494 15.4500 Å, 90.00 90.00 90.00°
Space group I4/mmm (No. 139)
Inequivalent atoms, fractional coordinates:
Sm 0.0000 0.0000 0.1677 (multiplicity 4)
Be 0.0000 0.0000 0.4332 (multiplicity 4)
C 0.0000 0.0000 0.3289 (multiplicity 4)